Model w:
Compound: ErScAl
Source: Alexandria
Functional: PBE
Structure: relaxed

Computed properties:
volume	493	Å³ per cell

a b c (Å): 4.8823 4.8823 23.8996
angles (deg): 90.00 90.00 120.00
Last column: nearest neighbours and their distance in Å.
Space group R-3m (No. 166, hexagonal axes)
Unique sites:
Er1 0.0000 0.0000 0.1221 (multiplicity 6)  4 Al 2.99-3.14
Sc1 0.0000 0.0000 0.3722 (multiplicity 6)  4 Al 2.84-2.98
Al1 0.0000 0.0000 0.2534 (multiplicity 6)  4 Sc 2.84-2.98, 4 Er 2.99-3.14

***

Model x:
Compound: ErScAl
Source: Alexandria
Functional: PBE
Structure: relaxed

Computed properties:
volume	149	Å³ per cell

a b c (Å): 4.5100 4.5100 7.3099
angles (deg): 90.00 90.00 90.00
Last column: nearest neighbours and their distance in Å.
Space group P4/nmm (No. 129, origin choice 2)
Unique sites:
Er1 0.2500 0.2500 0.1955 (multiplicity 2)  4 Al 3.17, 5 Sc 3.23-3.36
Sc1 0.2500 0.2500 0.7361 (multiplicity 2)  4 Al 2.84
Al1 0.2500 0.7500 0.5000 (multiplicity 2)  4 Sc 2.84, 4 Er 3.17

***

Which is most stable? The ranking, best first, is model x, model w.

***

Model w:
Compound: ErSc3Al
Source: Alexandria
Functional: PBE
Structure: relaxed

Computed properties:
volume	478	Å³ per cell

a b c (Å): 12.1932 3.3711 11.6767
angles (deg): 90.00 94.92 90.00
Last column: nearest neighbours and their distance in Å.
Space group C2/m (No. 12)
Unique sites:
Er1 0.2313 0.0000 0.2521 (multiplicity 4)  2 Al 3.10, 8 Sc 3.32-3.46, 2 Er 3.37
Sc1 0.0302 0.0000 0.6896 (multiplicity 4)  2 Al 2.98, 5 Sc 3.20-3.29, 1 Er 3.32
Sc2 0.1346 0.5000 0.4823 (multiplicity 4)  9 Sc 3.20-3.37, 3 Er 3.38-3.46
Sc3 0.1429 0.0000 0.9519 (multiplicity 4)  4 Al 2.93, 3 Sc 3.23-3.25
Al1 0.0466 0.5000 0.1227 (multiplicity 4)  6 Sc 2.93-2.98, 1 Al 2.99, 2 Er 3.10

***

Model x:
Compound: ErSc3Al
Source: Alexandria
Functional: PBE
Structure: relaxed

Computed properties:
volume	519	Å³ per cell

a b c (Å): 3.2565 15.5821 10.2322
angles (deg): 90.00 90.00 90.00
Last column: nearest neighbours and their distance in Å.
Space group Cmcm (No. 63)
Unique sites:
Er1 0.0000 0.0116 0.2500 (multiplicity 4)  2 Al 2.97, 2 Er 3.26
Sc1 0.0000 0.1559 0.5131 (multiplicity 8)  2 Al 2.92, 4 Sc 3.22-3.26
Sc2 0.0000 0.2997 0.7500 (multiplicity 4)  2 Al 2.87
Al1 0.0000 0.3520 0.2500 (multiplicity 4)  6 Sc 2.87-2.92, 2 Er 2.97

***

Which is most stable? The ranking, best first, is model w, model x.

***

Model w:
Compound: Er4ScAl2
Source: Alexandria
Functional: PBE
Structure: relaxed

Computed properties:
volume	617	Å³ per cell

a b c (Å): 4.9917 4.9917 28.5933
angles (deg): 90.00 90.00 120.00
Last column: nearest neighbours and their distance in Å.
Space group R-3m (No. 166, hexagonal axes)
Unique sites:
Er1 0.0000 0.0000 0.1098 (multiplicity 6)  3 Al 3.11, 3 Sc 3.31
Er2 0.0000 0.0000 0.2951 (multiplicity 6)  4 Al 3.01-3.06
Sc1 0.0000 0.0000 0.5000 (multiplicity 3)  2 Al 2.80
Al1 0.0000 0.0000 0.4020 (multiplicity 6)  1 Sc 2.80, 7 Er 3.01-3.11

***

Model x:
Compound: Er4ScAl2
Source: Alexandria
Functional: PBE
Structure: relaxed

Computed properties:
volume	541	Å³ per cell

a b c (Å): 5.1171 5.1171 23.8470
angles (deg): 90.00 90.00 120.00
Last column: nearest neighbours and their distance in Å.
Space group R-3m (No. 166, hexagonal axes)
Unique sites:
Er1 0.0000 0.0000 0.1016 (multiplicity 6)  4 Al 2.95-3.14
Er2 0.0000 0.0000 0.3644 (multiplicity 6)  4 Al 3.13-3.38, 1 Sc 3.23, 6 Er 3.31-3.40
Sc1 0.0000 0.0000 0.5000 (multiplicity 3)  8 Er 3.23-3.34, 6 Al 3.35
Al1 0.0000 0.0000 0.2332 (multiplicity 6)  5 Er 2.95-3.14

***

Which is most stable? The ranking, best first, is model x, model w.

***

Model w:
Compound: Er4ScAl
Source: Alexandria
Functional: PBE
Structure: relaxed

Computed properties:
volume	341	Å³ per cell

a b c (Å): 10.5673 3.4259 10.4927
angles (deg): 90.00 116.00 90.00
Last column: nearest neighbours and their distance in Å.
Space group C2/m (No. 12)
Unique sites:
Er1 0.1425 0.0000 0.3536 (multiplicity 4)  3 Al 3.10-3.40, 1 Sc 3.34, 7 Er 3.38-3.45
Er2 0.1614 0.5000 0.8369 (multiplicity 4)  1 Al 3.18, 3 Sc 3.22-3.37, 7 Er 3.41-3.54
Sc1 0.0000 0.0000 0.0000 (multiplicity 2)  8 Er 3.22-3.37, 2 Sc 3.43
Al1 0.0000 0.5000 0.5000 (multiplicity 2)  8 Er 3.10-3.40, 2 Al 3.43

***

Model x:
Compound: Er4ScAl
Source: Alexandria
Functional: PBE
Structure: relaxed

Computed properties:
volume	668	Å³ per cell

a b c (Å): 8.5892 13.5585 6.0456
angles (deg): 90.00 108.48 90.00
Last column: nearest neighbours and their distance in Å.
Space group C2/c (No. 15)
Unique sites:
Er1 0.0996 0.1863 0.0456 (multiplicity 8)  2 Al 3.04-3.06, 3 Er 3.30-3.37, 1 Sc 3.41
Er2 0.2128 0.3909 0.3737 (multiplicity 8)  2 Al 3.14-3.17, 2 Sc 3.29-3.34, 3 Er 3.32-3.48
Sc1 0.0000 0.4032 0.7500 (multiplicity 4)  10 Er 3.29-3.64
Al1 0.0000 0.0007 0.2500 (multiplicity 4)  2 Al 3.02, 8 Er 3.04-3.17

***

Which is most stable? The ranking, best first, is model x, model w.

***

Model w:
Compound: TbErScAl
Source: Alexandria
Functional: PBE
Structure: relaxed

Computed properties:
volume	100	Å³ per cell

a b c (Å): 4.5785 4.6753 4.6782
angles (deg): 90.00 90.00 90.00
Last column: nearest neighbours and their distance in Å.
Space group Pmmm (No. 47)
Unique sites:
Tb1 0.0000 0.0000 0.0000 (multiplicity 1)  4 Sc 3.27, 4 Al 3.27, 4 Er 3.31
Er1 0.0000 0.5000 0.5000 (multiplicity 1)  4 Al 3.27, 4 Sc 3.27, 4 Tb 3.31
Sc1 0.5000 0.5000 0.0000 (multiplicity 1)  4 Tb 3.27, 4 Er 3.27, 4 Al 3.31
Al1 0.5000 0.0000 0.5000 (multiplicity 1)  4 Er 3.27, 4 Tb 3.27, 4 Sc 3.31

***

Model x:
Compound: TbErScAl
Source: Alexandria
Functional: PBE
Structure: relaxed

Computed properties:
volume	403	Å³ per cell

a b c (Å): 7.3843 7.3843 7.3843
angles (deg): 90.00 90.00 90.00
Last column: nearest neighbours and their distance in Å.
Space group F-43m (No. 216)
Unique sites:
Tb1 0.0000 0.0000 0.0000 (multiplicity 4)  4 Al 3.20, 4 Sc 3.20
Er1 0.0000 0.0000 0.5000 (multiplicity 4)  4 Sc 3.20, 4 Al 3.20
Sc1 0.2500 0.2500 0.7500 (multiplicity 4)  4 Tb 3.20, 4 Er 3.20
Al1 0.2500 0.2500 0.2500 (multiplicity 4)  4 Tb 3.20, 4 Er 3.20

***

Which is most stable? The ranking, best first, is model w, model x.

***

Model w:
Compound: ErTmScAl
Source: Alexandria
Functional: PBE
Structure: relaxed

Computed properties:
volume	98	Å³ per cell

a b c (Å): 4.5465 4.6436 4.6469
angles (deg): 90.00 90.00 90.00
Last column: nearest neighbours and their distance in Å.
Space group Pmmm (No. 47)
Unique sites:
Er1 0.0000 0.0000 0.0000 (multiplicity 1)  4 Al 3.25, 4 Sc 3.25, 4 Tm 3.28
Tm1 0.0000 0.5000 0.5000 (multiplicity 1)  4 Sc 3.25, 4 Al 3.25, 4 Er 3.28
Sc1 0.5000 0.0000 0.5000 (multiplicity 1)  4 Tm 3.25, 4 Er 3.25, 4 Al 3.28
Al1 0.5000 0.5000 0.0000 (multiplicity 1)  4 Er 3.25, 4 Tm 3.25, 4 Sc 3.28

***

Model x:
Compound: ErTmScAl
Source: Alexandria
Functional: PBE
Structure: relaxed

Computed properties:
volume	395	Å³ per cell

a b c (Å): 7.3346 7.3346 7.3346
angles (deg): 90.00 90.00 90.00
Last column: nearest neighbours and their distance in Å.
Space group F-43m (No. 216)
Unique sites:
Er1 0.0000 0.0000 0.0000 (multiplicity 4)  4 Sc 3.18, 4 Al 3.18
Tm1 0.0000 0.0000 0.5000 (multiplicity 4)  4 Al 3.18, 4 Sc 3.18
Sc1 0.2500 0.2500 0.2500 (multiplicity 4)  4 Tm 3.18, 4 Er 3.18
Al1 0.2500 0.2500 0.7500 (multiplicity 4)  4 Er 3.18, 4 Tm 3.18

***

Which is most stable? The ranking, best first, is model w, model x.

***

Model w:
Compound: YErScAl
Source: Alexandria
Functional: PBE
Structure: relaxed

Computed properties:
volume	100	Å³ per cell

a b c (Å): 4.5666 4.6762 4.6923
angles (deg): 90.00 90.00 90.00
Last column: nearest neighbours and their distance in Å.
Space group Pmmm (No. 47)
Unique sites:
Y1 0.0000 0.0000 0.0000 (multiplicity 1)  4 Al 3.27, 4 Sc 3.27, 4 Er 3.31
Er1 0.0000 0.5000 0.5000 (multiplicity 1)  4 Sc 3.27, 4 Al 3.27, 4 Y 3.31
Sc1 0.5000 0.0000 0.5000 (multiplicity 1)  4 Er 3.27, 4 Y 3.27, 4 Al 3.31
Al1 0.5000 0.5000 0.0000 (multiplicity 1)  4 Y 3.27, 4 Er 3.27, 4 Sc 3.31

***

Model x:
Compound: YErScAl
Source: Alexandria
Functional: PBE
Structure: relaxed

Computed properties:
volume	403	Å³ per cell

a b c (Å): 7.3854 7.3854 7.3854
angles (deg): 90.00 90.00 90.00
Last column: nearest neighbours and their distance in Å.
Space group F-43m (No. 216)
Unique sites:
Y1 0.0000 0.0000 0.0000 (multiplicity 4)  4 Sc 3.20, 4 Al 3.20
Er1 0.0000 0.0000 0.5000 (multiplicity 4)  4 Sc 3.20, 4 Al 3.20
Sc1 0.2500 0.2500 0.2500 (multiplicity 4)  4 Er 3.20, 4 Y 3.20
Al1 0.2500 0.2500 0.7500 (multiplicity 4)  4 Er 3.20, 4 Y 3.20

***

Which is most stable? The ranking, best first, is model w, model x.

***

Model w:
Compound: Er3AlSe6
Source: Alexandria
Functional: PBE
Structure: relaxed

Computed properties:
volume	1609	Å³ per cell

a b c (Å): 11.5499 11.5499 13.9242
angles (deg): 90.00 90.00 120.00
Last column: nearest neighbours and their distance in Å.
Space group R-3 (No. 148, hexagonal axes)
Unique sites:
Er1 0.0515 0.2716 0.2034 (multiplicity 18)  6 Se 2.81-2.89
Al1 0.0000 0.0000 0.0000 (multiplicity 3)  6 Se 2.57
Al2 0.0000 0.0000 0.5000 (multiplicity 3)  6 Se 2.60
Se1 0.0176 0.1979 0.3994 (multiplicity 18)  1 Al 2.60, 3 Er 2.83-2.89
Se2 0.0320 0.1884 0.8858 (multiplicity 18)  1 Al 2.57, 2 Er 2.81-2.83

***

Model x:
Compound: Er3AlSe6
Source: Alexandria
Functional: PBE
Structure: relaxed

Computed properties:
volume	1035	Å³ per cell

a b c (Å): 11.1161 13.8555 6.7178
angles (deg): 90.00 90.00 90.00
Last column: nearest neighbours and their distance in Å.
Space group Cmc2_1 (No. 36)
Unique sites:
Er1 0.0000 0.0961 0.0000 (multiplicity 4)  6 Se 2.84-2.91
Er2 0.1836 0.4017 0.9008 (multiplicity 8)  7 Se 2.79-3.06
Al1 0.0000 0.2976 0.3625 (multiplicity 4)  4 Se 2.40-2.44
Se1 0.0000 0.2820 0.7192 (multiplicity 4)  1 Al 2.41
Se2 0.0000 0.4594 0.2184 (multiplicity 4)  1 Al 2.44
Se3 0.1632 0.0338 0.7021 (multiplicity 8)  4 Er 2.79-2.89
Se4 0.1677 0.2313 0.1829 (multiplicity 8)  1 Al 2.40

***

Which is most stable? The ranking, best first, is model x, model w.

***

Model w:
Compound: ErAlSe3
Source: Alexandria
Functional: PBE
Structure: relaxed

Computed properties:
volume	624	Å³ per cell

a b c (Å): 4.0042 23.5405 6.6241
angles (deg): 90.00 90.00 90.00
Last column: nearest neighbours and their distance in Å.
Space group Ama2 (No. 40)
Unique sites:
Er1 0.2500 0.1747 0.0000 (multiplicity 4)  6 Se 2.78-2.89
Al1 0.2500 0.3716 0.9279 (multiplicity 4)  4 Se 2.37-2.46
Se1 0.2500 0.0826 0.2854 (multiplicity 4)  2 Al 2.46
Se2 0.2500 0.2783 0.7648 (multiplicity 4)  1 Al 2.45
Se3 0.2500 0.3801 0.2847 (multiplicity 4)  1 Al 2.37

***

Model x:
Compound: ErAlSe3
Source: Alexandria
Functional: PBE
Structure: relaxed

Computed properties:
volume	487	Å³ per cell

a b c (Å): 12.8022 9.0092 4.2205
angles (deg): 90.00 90.59 90.00
Last column: nearest neighbours and their distance in Å.
Space group C2/m (No. 12)
Unique sites:
Er1 0.2375 0.0000 0.2625 (multiplicity 4)  8 Se 2.90-3.14
Al1 0.0000 0.3058 0.5000 (multiplicity 4)  4 Se 2.38-2.46
Se1 0.1037 0.5000 0.2431 (multiplicity 4)  2 Al 2.46
Se2 0.1462 0.1930 0.7559 (multiplicity 8)  1 Al 2.38

***

Which is most stable? The ranking, best first, is model w, model x.

***

Model w:
Compound: Sm2ErAl
Source: Alexandria
Functional: PBE
Structure: relaxed

Computed properties:
volume	230	Å³ per cell

a b c (Å): 3.8028 5.2359 11.5441
angles (deg): 90.00 90.00 90.00
Last column: nearest neighbours and their distance in Å.
Space group Immm (No. 71)
Unique sites:
Sm1 0.0000 0.0000 0.2142 (multiplicity 4)  2 Al 3.12, 4 Sm 3.34
Er1 0.0000 0.5000 0.0000 (multiplicity 2)  4 Al 3.24, 4 Sm 3.60
Al1 0.0000 0.5000 0.5000 (multiplicity 2)  4 Sm 3.12, 4 Er 3.24

***

Model x:
Compound: Sm2ErAl
Source: Alexandria
Functional: PBE
Structure: relaxed

Computed properties:
volume	115	Å³ per cell

a b c (Å): 3.5388 3.5388 9.1870
angles (deg): 90.00 90.00 90.00
Last column: nearest neighbours and their distance in Å.
Space group P4/mmm (No. 123)
Unique sites:
Sm1 0.0000 0.0000 0.2169 (multiplicity 2)  4 Al 3.20, 4 Sm 3.54
Er1 0.5000 0.5000 0.5000 (multiplicity 1)  4 Er 3.54, 8 Sm 3.61
Al1 0.5000 0.5000 0.0000 (multiplicity 1)  8 Sm 3.20, 4 Al 3.54

***

Which is most stable? The ranking, best first, is model w, model x.

***

Model w:
Compound: Sm2ErAl
Source: Alexandria
Functional: PBE
Structure: relaxed

Computed properties:
volume	111	Å³ per cell

a b c (Å): 4.8023 4.8023 4.8180
angles (deg): 90.00 90.00 90.00
Last column: nearest neighbours and their distance in Å.
Space group P4/mmm (No. 123)
Unique sites:
Sm1 0.0000 0.5000 0.0000 (multiplicity 2)  4 Sm 3.40, 4 Al 3.40, 4 Er 3.40
Er1 0.0000 0.0000 0.5000 (multiplicity 1)  4 Al 3.40, 8 Sm 3.40
Al1 0.5000 0.5000 0.5000 (multiplicity 1)  4 Er 3.40, 8 Sm 3.40

***

Model x:
Compound: Sm2ErAl
Source: Alexandria
Functional: PBE
Structure: relaxed

Computed properties:
volume	443	Å³ per cell

a b c (Å): 5.3161 6.9188 12.0444
angles (deg): 90.00 90.00 90.00
Last column: nearest neighbours and their distance in Å.
Space group Amm2 (No. 38)
Unique sites:
Sm1 0.0000 0.0000 0.0000 (multiplicity 2)  4 Al 3.26-3.46, 2 Sm 3.27, 4 Er 3.40
Sm2 0.0000 0.2341 0.2357 (multiplicity 4)  4 Sm 3.24-3.41, 4 Al 3.25-3.52, 2 Er 3.39
Sm3 0.5000 0.0000 0.6467 (multiplicity 2)  4 Er 3.28-3.66, 4 Al 3.29-3.46, 4 Sm 3.41
Er1 0.5000 0.2356 0.4102 (multiplicity 4)  4 Al 3.25-3.49, 1 Er 3.26, 5 Sm 3.28-3.40
Al1 0.0000 0.0000 0.4862 (multiplicity 2)  4 Er 3.25, 8 Sm 3.29-3.52
Al2 0.5000 0.0000 0.1573 (multiplicity 2)  8 Sm 3.25-3.46, 4 Er 3.45-3.49

***

Model y:
Compound: Sm2ErAl
Source: Alexandria
Functional: PBE
Structure: relaxed

Computed properties:
volume	445	Å³ per cell

a b c (Å): 7.6374 7.6374 7.6374
angles (deg): 90.00 90.00 90.00
Last column: nearest neighbours and their distance in Å.
Space group Fm-3m (No. 225)
Unique sites:
Sm1 0.2500 0.2500 0.2500 (multiplicity 8)  4 Er 3.31, 4 Al 3.31
Er1 0.0000 0.0000 0.0000 (multiplicity 4)  8 Sm 3.31
Al1 0.0000 0.0000 0.5000 (multiplicity 4)  8 Sm 3.31

***

Which is most stable? The ranking, best first, is model x, model w, model y.

***

Model w:
Compound: Sm4ErAl
Source: Alexandria
Functional: PBE
Structure: relaxed

Computed properties:
volume	183	Å³ per cell

a b c (Å): 3.5730 3.5730 14.3095
angles (deg): 90.00 90.00 90.00
Last column: nearest neighbours and their distance in Å.
Space group P4/mmm (No. 123)
Unique sites:
Sm1 0.0000 0.0000 0.1369 (multiplicity 2)  4 Al 3.20, 4 Sm 3.57
Sm2 0.5000 0.5000 0.3229 (multiplicity 2)  8 Sm 3.57-3.67, 4 Er 3.58
Er1 0.0000 0.0000 0.5000 (multiplicity 1)  4 Er 3.57, 8 Sm 3.58
Al1 0.5000 0.5000 0.0000 (multiplicity 1)  8 Sm 3.20, 4 Al 3.57

***

Model x:
Compound: Sm4ErAl
Source: Alexandria
Functional: PBE
Structure: relaxed

Computed properties:
volume	741	Å³ per cell

a b c (Å): 8.8520 14.0178 6.3215
angles (deg): 90.00 109.21 90.00
Last column: nearest neighbours and their distance in Å.
Space group C2/c (No. 15)
Unique sites:
Sm1 0.0996 0.1844 0.0464 (multiplicity 8)  2 Al 3.14-3.15, 3 Sm 3.33-3.46
Sm2 0.2186 0.3860 0.3754 (multiplicity 8)  2 Al 3.24-3.27, 3 Sm 3.33-3.61, 2 Er 3.41-3.53
Er1 0.0000 0.4087 0.7500 (multiplicity 4)  10 Sm 3.41-3.80
Al1 0.0000 0.0003 0.2500 (multiplicity 4)  8 Sm 3.14-3.27, 2 Al 3.16

***

Which is most stable? The ranking, best first, is model w, model x.